No. 1
Computed, not measured: a crystal of Sr2CaSi relaxed with PBEsol at the meta-GGA SCAN level of DFT.

abc: 3.9879 4.9810 15.7103
angles: 90.00 90.00 90.00
Space group Amm2 (No. 38)
Asymmetric unit:
Sr1 0.0000 0.0000 0.0000 [2 per cell]
Sr2 0.5000 0.0000 0.3362 [2 per cell]
Ca1 0.0000 0.0000 0.6756 [2 per cell]
Si1 0.5000 0.0000 0.5338 [2 per cell]

Summary:
- formation energy (no corrections) (meV per atom) = -121
- total energy (eV per atom) = -16.18

***

No. 2
Computed, not measured: a crystal of SrCa2Si relaxed with PBEsol at the meta-GGA SCAN level of DFT.

abc: 7.7540 7.7540 7.7540
angles: 90.00 90.00 90.00
Space group F-43m (No. 216)
Asymmetric unit:
Sr1 0.0000 0.0000 0.0000 [4 per cell]
Ca1 0.0000 0.0000 0.5000 [4 per cell]
Ca2 0.2500 0.2500 0.7500 [4 per cell]
Si1 0.2500 0.2500 0.2500 [4 per cell]

Summary:
- formation energy (no corrections) (meV per atom) = 62
- total energy (eV per atom) = -12.84

***

No. 3
Computed, not measured: a crystal of SrCa2Si6 relaxed with PBEsol at the meta-GGA SCAN level of DFT.

abc: 11.9137 3.9104 8.3067
angles: 90.00 91.35 90.00
Space group C2/m (No. 12)
Asymmetric unit:
Sr1 0.0000 0.0000 0.0000 [2 per cell]
Ca1 0.1704 0.5000 0.3318 [4 per cell]
Si1 0.0829 0.5000 0.7411 [4 per cell]
Si2 0.0860 0.0000 0.5761 [4 per cell]
Si3 0.2458 0.5000 0.9161 [4 per cell]

Summary:
- formation energy (no corrections) (meV per atom) = -378
- total energy (eV per atom) = -11.68

***

Look up the total energy of the third one.
-11.68 eV per atom